[1]
YMgSc2In4: optimized geometry, PBE.

```
YMgSc2In4
1.0
5.081 0.000 0.000
2.541 4.401 0.000
2.541 1.467 8.524
In Sc Mg Y
4 2 1 1
Direct
0.126 0.126 0.622
0.378 0.378 0.866
0.874 0.874 0.378
0.622 0.622 0.134
0.754 0.754 0.739
0.246 0.246 0.261
0.500 0.500 0.500
0.000 0.000 0.000
```

As for the symmetry: R-3m, No. 166.

[2]
MgZrScIn: optimized geometry, PBE.

```
MgZrScIn
1.0
-0.312 0.012 4.338
4.469 -0.043 0.322
0.045 4.550 -0.010
In Mg Sc Zr
1 1 1 1
Direct
0.000 0.500 0.500
0.000 0.000 0.000
0.500 0.500 0.000
0.500 0.000 0.500
```

As for the symmetry: Pmmm, No. 47.

Number 1: calculated formation energy -0.3440 eV/atom, total energy -34.4 eV/f.u., theoretical density 5.77 Mg/m³. Number 2: calculated formation energy -0.2243 eV/atom, total energy -20.1 eV/f.u., theoretical density 5.15 Mg/m³.